# Li3SiGe

An optimized crystal structure of Li3SiGe (GGA-PBE, Alexandria).

Lattice parameters (Å, degrees): 6.336 6.336 6.336 98.85 119.97 110.28
Element x y z (fractional)
Li (0.024, 0.731, 0.794)
Li (0.477, 0.688, 0.694)
Li (0.937, 0.231, 0.206)
Li (0.477, 0.283, 0.288)
Li (0.994, 0.783, 0.306)
Li (0.994, 0.188, 0.712)
Ge (0.576, 0.894, 0.182)
Ge (0.711, 0.394, 0.818)
Si (0.234, 0.563, 0.170)
Si (0.393, 0.063, 0.830)

Summary:
- DFT total energy (eV per atom) = -3.269
- formation energy from raw total energies (eV/atom) = -0.11
- SG = Ima2
- offset from the most stable computed form (meV per atom) = 87
- magnetization (μB per formula unit) = 0.00